(1)
ScIn2Cl: relaxed, GGA-PBE.

Cell: 3.297 5.089 5.696 Å, 90.00 90.00 90.00°
Positions (direct):
Sc (0.000, 0.000, 0.000)
In (0.000, 0.500, 0.500)
In (0.500, 0.000, 0.500)
Cl (0.500, 0.500, 0.000)

Calculated values
- Offset from the most stable computed form: 307 meV per atom
- E_form (uncorrected): -0.42 eV per atom
- Space-group type: Pmmm, No. 47
- DOS(E_F): 0.487 states/eV per atom
- Calculated density: 5.39 g/cm3
- Total DFT energy (no corrections): -0.2817 Ry/atom

=====

(2)
ScIn2Cl: relaxed, GGA-PBE.

Cell: 7.441 7.441 7.441 Å, 90.00 90.00 90.00°
Positions (direct):
Sc (0.000, 0.000, 0.000)
Sc (0.000, 0.500, 0.500)
Sc (0.500, 0.000, 0.500)
Sc (0.500, 0.500, 0.000)
In (0.250, 0.250, 0.250)
In (0.250, 0.250, 0.750)
In (0.250, 0.750, 0.250)
In (0.250, 0.750, 0.750)
In (0.750, 0.250, 0.250)
In (0.750, 0.250, 0.750)
In (0.750, 0.750, 0.250)
In (0.750, 0.750, 0.750)
Cl (0.000, 0.000, 0.500)
Cl (0.000, 0.500, 0.000)
Cl (0.500, 0.000, 0.000)
Cl (0.500, 0.500, 0.500)

Calculated values
- Offset from the most stable computed form: 692 meV per atom
- E_form (uncorrected): -0.03 eV per atom
- Space-group type: Fm-3m, No. 225
- DOS(E_F): 0.837 states/eV per atom
- Calculated density: 5.00 g/cm3
- Total DFT energy (no corrections): -0.2534 Ry/atom

=====

(3)
ScIn2Cl: relaxed, GGA-PBE.

Cell: 3.530 4.769 6.050 Å, 90.00 106.77 90.00°
Positions (direct):
Sc (0.000, 0.000, 0.000)
In (0.367, 0.500, 0.734)
In (0.734, 0.000, 0.474)
Cl (0.090, 0.500, 0.183)

Calculated values
- Offset from the most stable computed form: 224 meV per atom
- E_form (uncorrected): -0.50 eV per atom
- Space-group type: Pm, No. 6
- DOS(E_F): 0.768 states/eV per atom
- Calculated density: 5.28 g/cm3
- Total DFT energy (no corrections): -0.2877 Ry/atom

=====

(4)
ScIn2Cl: relaxed, GGA-PBE.

Cell: 3.235 3.235 9.947 Å, 90.00 90.00 90.00°
Positions (direct):
Sc (0.000, 0.000, 0.000)
In (0.000, 0.000, 0.526)
In (0.500, 0.500, 0.778)
Cl (0.500, 0.500, 0.145)

Calculated values
- Offset from the most stable computed form: 40 meV per atom
- E_form (uncorrected): -0.69 eV per atom
- Space-group type: P4mm, No. 99
- DOS(E_F): 0.536 states/eV per atom
- Calculated density: 4.95 g/cm3
- Total DFT energy (no corrections): -0.3013 Ry/atom

=====

(5)
ScIn2Cl: relaxed, GGA-PBE.

Cell: 9.809 9.809 5.014 Å, 90.00 90.00 90.00°
Positions (direct):
Sc (0.000, 0.000, 0.000)
Sc (0.000, 0.500, 0.250)
Sc (0.500, 0.000, 0.750)
Sc (0.500, 0.500, 0.500)
In (0.178, 0.750, 0.125)
In (0.250, 0.178, 0.875)
In (0.250, 0.322, 0.375)
In (0.322, 0.750, 0.625)
In (0.678, 0.250, 0.625)
In (0.750, 0.678, 0.375)
In (0.750, 0.822, 0.875)
In (0.822, 0.250, 0.125)
Cl (0.000, 0.000, 0.500)
Cl (0.000, 0.500, 0.750)
Cl (0.500, 0.000, 0.250)
Cl (0.500, 0.500, 0.000)

Calculated values
- Offset from the most stable computed form: 447 meV per atom
- E_form (uncorrected): -0.28 eV per atom
- Space-group type: I-42d, No. 122
- DOS(E_F): 0.449 states/eV per atom
- Calculated density: 4.27 g/cm3
- Total DFT energy (no corrections): -0.2714 Ry/atom

=====

(6)
ScInCl: relaxed, GGA-PBE.

Cell: 3.222 3.222 15.367 Å, 90.00 90.00 90.00°
Positions (direct):
Sc (0.000, 0.000, 0.000)
Sc (0.500, 0.500, 0.500)
In (0.000, 0.000, 0.358)
In (0.500, 0.500, 0.858)
Cl (0.000, 0.000, 0.595)
Cl (0.500, 0.500, 0.095)

Calculated values
- Offset from the most stable computed form: 96 meV per atom
- E_form (uncorrected): -0.82 eV per atom
- Space-group type: I4mm, No. 107
- DOS(E_F): 0.897 states/eV per atom
- Calculated density: 4.07 g/cm3
- Total DFT energy (no corrections): -0.3275 Ry/atom

=====

(7)
ScInCl: relaxed, GGA-PBE.

Cell: 3.421 3.421 7.702 Å, 90.00 90.00 120.00°
Positions (direct):
Sc (0.000, 0.000, 0.000)
In (0.667, 0.333, 0.697)
Cl (0.333, 0.667, 0.215)

Calculated values
- Offset from the most stable computed form: 0 meV per atom
- E_form (uncorrected): -0.91 eV per atom
- Space-group type: P3m1, No. 156
- DOS(E_F): 0.892 states/eV per atom
- Calculated density: 4.15 g/cm3
- Total DFT energy (no corrections): -0.3346 Ry/atom

=====

(8)
ScInCl: relaxed, GGA-PBE.

Cell: 6.976 6.976 6.976 Å, 90.00 90.00 90.00°
Positions (direct):
Sc (0.000, 0.000, 0.000)
Sc (0.000, 0.500, 0.500)
Sc (0.500, 0.000, 0.500)
Sc (0.500, 0.500, 0.000)
In (0.250, 0.250, 0.750)
In (0.250, 0.750, 0.250)
In (0.750, 0.250, 0.250)
In (0.750, 0.750, 0.750)
Cl (0.250, 0.250, 0.250)
Cl (0.250, 0.750, 0.750)
Cl (0.750, 0.250, 0.750)
Cl (0.750, 0.750, 0.250)

Calculated values
- Offset from the most stable computed form: 793 meV per atom
- E_form (uncorrected): -0.12 eV per atom
- Space-group type: F-43m, No. 216
- DOS(E_F): 1.316 states/eV per atom
- Calculated density: 3.82 g/cm3
- Total DFT energy (no corrections): -0.2763 Ry/atom